Density functional theory data (PBE+U) for an optimized crystal structure of Rb2HWF.

Results
ρ: 3.6 g/cm3
SG: P4/mmm, No. 123
Spin magnetization: 4.19 μB per cell
E_tot: -2.86 eV/atom

a b c (Å): 6.6954 6.6954 3.8950
angles (deg): 90.00 90.00 90.00
Positions (direct):
Rb (0.0000, 0.5000, 0.0000)
Rb (0.5000, 0.0000, 0.0000)
H (0.0000, 0.0000, 0.5000)
W (0.0000, 0.0000, 0.0000)
F (0.5000, 0.5000, 0.5000)